A relaxed Ac4HgAu crystal. Source: Alexandria, functional PBE-GGA.

Energy above the most stable polymorph in this dataset in kcal/mol of atoms: 2.40
Energy of formation in eV/f.u.: -1.74

Cell: 7.7289 8.0552 7.8928 Å, 90.00 95.35 90.00°
Positions (direct):
Ac 0.8779 0.6524 0.1583
Ac 0.6221 0.1524 0.8417
Ac 0.3261 0.3427 0.3452
Ac 0.1739 0.8427 0.6548
Ac 0.1221 0.3476 0.8417
Ac 0.3779 0.8476 0.1583
Ac 0.6739 0.6573 0.6548
Ac 0.8261 0.1573 0.3452
Hg 0.0000 0.0000 0.0000
Hg 0.5000 0.5000 0.0000
Au 0.5000 0.0000 0.5000
Au 0.0000 0.5000 0.5000